No. 1
# SrCe3Sm2Te6 (PBE, optimized geometry)
data_SrCe3Sm2Te6
_chemical_formula_sum 'Sr1 Ce3 Sm2 Te6'
_space_group_name_H-M_alt 'P 1'
_space_group_IT_number 1
_space_group_name_Hall 'P 1'
_cell_length_a 10.123
_cell_length_b 10.123
_cell_length_c 9.089
_cell_angle_alpha 103.69
_cell_angle_beta 103.69
_cell_angle_gamma 25.59
loop_
_atom_site_label
_atom_site_type_symbol
_atom_site_fract_x
_atom_site_fract_y
_atom_site_fract_z
Sr1 Sr 0.000 0.000 0.000
Ce1 Ce 0.000 0.000 0.500
Ce2 Ce 0.335 0.335 0.170
Ce3 Ce 0.665 0.665 0.830
Sm1 Sm 0.329 0.329 0.659
Sm2 Sm 0.671 0.671 0.341
Te1 Te 0.166 0.166 0.581
Te2 Te 0.169 0.169 0.088
Te3 Te 0.497 0.497 0.744
Te4 Te 0.503 0.503 0.256
Te5 Te 0.831 0.831 0.912
Te6 Te 0.834 0.834 0.419
# space group = C2/m (12)
# energy relative to the elements, uncorrected = -1.415 eV per atom

---

No. 2
# KFeSi4 (PBE, optimized geometry)
data_KFeSi4
_chemical_formula_sum 'K1 Fe1 Si4'
_space_group_name_H-M_alt 'P 1'
_space_group_IT_number 1
_space_group_name_Hall 'P 1'
_cell_length_a 5.263
_cell_length_b 5.263
_cell_length_c 5.263
_cell_angle_alpha 60.00
_cell_angle_beta 60.00
_cell_angle_gamma 60.00
loop_
_atom_site_label
_atom_site_type_symbol
_atom_site_fract_x
_atom_site_fract_y
_atom_site_fract_z
K1 K 0.000 0.000 0.000
Fe1 Fe 0.250 0.250 0.250
Si1 Si 0.131 0.623 0.623
Si2 Si 0.623 0.131 0.623
Si3 Si 0.623 0.623 0.131
Si4 Si 0.623 0.623 0.623
# space group = F-43m (216)
# energy relative to the elements, uncorrected = 0.633 eV per atom

---

No. 3
# NaNpAg2Br6 (PBE, optimized geometry)
data_NaNpAg2Br6
_chemical_formula_sum 'Na1 Np1 Ag2 Br6'
_space_group_name_H-M_alt 'P 1'
_space_group_IT_number 1
_space_group_name_Hall 'P 1'
_cell_length_a 8.027
_cell_length_b 8.027
_cell_length_c 8.027
_cell_angle_alpha 54.80
_cell_angle_beta 54.80
_cell_angle_gamma 54.80
loop_
_atom_site_label
_atom_site_type_symbol
_atom_site_fract_x
_atom_site_fract_y
_atom_site_fract_z
Na1 Na 0.000 0.000 0.000
Np1 Np 0.511 0.511 0.511
Ag1 Ag 0.316 0.316 0.316
Ag2 Ag 0.753 0.753 0.753
Br1 Br 0.119 0.403 0.729
Br2 Br 0.259 0.910 0.590
Br3 Br 0.403 0.729 0.119
Br4 Br 0.590 0.259 0.910
Br5 Br 0.729 0.119 0.403
Br6 Br 0.910 0.590 0.259
# space group = R3 (146)
# energy relative to the elements, uncorrected = -0.950 eV per atom

---

No. 4
# Cs6Au2ICl2 (PBE, optimized geometry)
data_Cs6Au2ICl2
_chemical_formula_sum 'Cs6 Au2 I1 Cl2'
_space_group_name_H-M_alt 'P 1'
_space_group_IT_number 1
_space_group_name_Hall 'P 1'
_cell_length_a 9.074
_cell_length_b 9.074
_cell_length_c 8.982
_cell_angle_alpha 99.39
_cell_angle_beta 99.39
_cell_angle_gamma 120.25
loop_
_atom_site_label
_atom_site_type_symbol
_atom_site_fract_x
_atom_site_fract_y
_atom_site_fract_z
Cs1 Cs 0.066 0.428 0.757
Cs2 Cs 0.245 0.245 0.230
Cs3 Cs 0.428 0.066 0.757
Cs4 Cs 0.572 0.934 0.243
Cs5 Cs 0.755 0.755 0.770
Cs6 Cs 0.934 0.572 0.243
Au1 Au 0.339 0.661 0.500
Au2 Au 0.661 0.339 0.500
I1 I 0.000 0.000 0.500
Cl1 Cl 0.165 0.835 0.000
Cl2 Cl 0.835 0.165 0.000
# space group = C2/m (12)
# energy relative to the elements, uncorrected = -1.088 eV per atom

---

No. 5
# Y2Zn2O (PBE, optimized geometry)
data_Y2Zn2O
_chemical_formula_sum 'Y4 Zn4 O2'
_space_group_name_H-M_alt 'P 1'
_space_group_IT_number 1
_space_group_name_Hall 'P 1'
_cell_length_a 6.445
_cell_length_b 6.445
_cell_length_c 5.114
_cell_angle_alpha 90.00
_cell_angle_beta 90.00
_cell_angle_gamma 90.00
loop_
_atom_site_label
_atom_site_type_symbol
_atom_site_fract_x
_atom_site_fract_y
_atom_site_fract_z
Y1 Y 0.185 0.315 0.000
Y2 Y 0.315 0.815 0.000
Y3 Y 0.685 0.185 0.000
Y4 Y 0.815 0.685 0.000
Zn1 Zn 0.135 0.635 0.500
Zn2 Zn 0.365 0.135 0.500
Zn3 Zn 0.635 0.865 0.500
Zn4 Zn 0.865 0.365 0.500
O1 O 0.000 0.000 0.000
O2 O 0.500 0.500 0.000
# space group = P4/mbm (127)
# energy relative to the elements, uncorrected = -1.026 eV per atom

---

No. 6
# Ti2Al2Ir (PBE, optimized geometry)
data_Ti2Al2Ir
_chemical_formula_sum 'Ti4 Al4 Ir2'
_space_group_name_H-M_alt 'P 1'
_space_group_IT_number 1
_space_group_name_Hall 'P 1'
_cell_length_a 6.455
_cell_length_b 6.455
_cell_length_c 3.819
_cell_angle_alpha 90.00
_cell_angle_beta 90.00
_cell_angle_gamma 90.00
loop_
_atom_site_label
_atom_site_type_symbol
_atom_site_fract_x
_atom_site_fract_y
_atom_site_fract_z
Ti1 Ti 0.165 0.335 0.000
Ti2 Ti 0.335 0.835 0.000
Ti3 Ti 0.665 0.165 0.000
Ti4 Ti 0.835 0.665 0.000
Al1 Al 0.138 0.638 0.500
Al2 Al 0.362 0.138 0.500
Al3 Al 0.638 0.862 0.500
Al4 Al 0.862 0.362 0.500
Ir1 Ir 0.000 0.000 0.500
Ir2 Ir 0.500 0.500 0.500
# ΔE_f = -0.5004 eV per atom
# space group = P4/mbm (127)

---

No. 7
# Ca2LaNi (PBE, optimized geometry)
data_Ca2LaNi
_chemical_formula_sum 'Ca2 La1 Ni1'
_space_group_name_H-M_alt 'P 1'
_space_group_IT_number 1
_space_group_name_Hall 'P 1'
_cell_length_a 10.392
_cell_length_b 10.392
_cell_length_c 10.392
_cell_angle_alpha 20.99
_cell_angle_beta 20.99
_cell_angle_gamma 20.99
loop_
_atom_site_label
_atom_site_type_symbol
_atom_site_fract_x
_atom_site_fract_y
_atom_site_fract_z
Ca1 Ca 0.223 0.223 0.223
Ca2 Ca 0.777 0.777 0.777
La1 La 0.000 0.000 0.000
Ni1 Ni 0.500 0.500 0.500
# ΔE_f = 0.1055 eV per atom
# space group = R-3m (166)

---

No. 8
# Cs2RbNa5Hg2 (PBE, optimized geometry)
data_Cs2RbNa5Hg2
_chemical_formula_sum 'Cs4 Rb2 Na10 Hg4'
_space_group_name_H-M_alt 'P 1'
_space_group_IT_number 1
_space_group_name_Hall 'P 1'
_cell_length_a 13.744
_cell_length_b 13.744
_cell_length_c 5.014
_cell_angle_alpha 90.00
_cell_angle_beta 90.00
_cell_angle_gamma 90.00
loop_
_atom_site_label
_atom_site_type_symbol
_atom_site_fract_x
_atom_site_fract_y
_atom_site_fract_z
Cs1 Cs 0.175 0.325 0.000
Cs2 Cs 0.325 0.825 0.000
Cs3 Cs 0.675 0.175 0.000
Cs4 Cs 0.825 0.675 0.000
Rb1 Rb 0.000 0.000 0.000
Rb2 Rb 0.500 0.500 0.000
Na1 Na 0.000 0.500 0.500
Na2 Na 0.072 0.759 0.500
Na3 Na 0.241 0.072 0.500
Na4 Na 0.259 0.572 0.500
Na5 Na 0.428 0.259 0.500
Na6 Na 0.500 0.000 0.500
Na7 Na 0.572 0.741 0.500
Na8 Na 0.741 0.428 0.500
Na9 Na 0.759 0.928 0.500
Na10 Na 0.928 0.241 0.500
Hg1 Hg 0.116 0.616 0.000
Hg2 Hg 0.384 0.116 0.000
Hg3 Hg 0.616 0.884 0.000
Hg4 Hg 0.884 0.384 0.000
# ΔE_f = -0.0972 eV per atom
# space group = P4/mbm (127)

---

No. 9
# Pr2Nd12Ho5 (PBE, optimized geometry)
data_Pr2Nd12Ho5
_chemical_formula_sum 'Pr2 Nd12 Ho5'
_space_group_name_H-M_alt 'P 1'
_space_group_IT_number 1
_space_group_name_Hall 'P 1'
_cell_length_a 9.305
_cell_length_b 9.305
_cell_length_c 8.967
_cell_angle_alpha 99.66
_cell_angle_beta 99.66
_cell_angle_gamma 60.96
loop_
_atom_site_label
_atom_site_type_symbol
_atom_site_fract_x
_atom_site_fract_y
_atom_site_fract_z
Pr1 Pr 0.175 0.825 0.000
Pr2 Pr 0.825 0.175 0.000
Nd1 Nd 0.020 0.020 0.672
Nd2 Nd 0.078 0.581 0.274
Nd3 Nd 0.189 0.573 0.698
Nd4 Nd 0.419 0.922 0.726
Nd5 Nd 0.420 0.420 0.083
Nd6 Nd 0.427 0.811 0.302
Nd7 Nd 0.573 0.189 0.698
Nd8 Nd 0.580 0.580 0.917
Nd9 Nd 0.581 0.078 0.274
Nd10 Nd 0.811 0.427 0.302
Nd11 Nd 0.922 0.419 0.726
Nd12 Nd 0.980 0.980 0.328
Ho1 Ho 0.192 0.192 0.047
Ho2 Ho 0.215 0.215 0.440
Ho3 Ho 0.500 0.500 0.500
Ho4 Ho 0.785 0.785 0.560
Ho5 Ho 0.808 0.808 0.953
# ΔE_f = 0.1935 eV per atom
# space group = C2/m (12)

---

No. 10
# GeAs (PBE, optimized geometry)
data_GeAs
_chemical_formula_sum 'Ge3 As3'
_space_group_name_H-M_alt 'P 1'
_space_group_IT_number 1
_space_group_name_Hall 'P 1'
_cell_length_a 6.947
_cell_length_b 6.947
_cell_length_c 6.947
_cell_angle_alpha 148.22
_cell_angle_beta 63.84
_cell_angle_gamma 126.21
loop_
_atom_site_label
_atom_site_type_symbol
_atom_site_fract_x
_atom_site_fract_y
_atom_site_fract_z
Ge1 Ge 0.000 0.000 0.000
Ge2 Ge 0.059 0.351 0.708
Ge3 Ge 0.643 0.351 0.292
As1 As 0.078 0.742 0.337
As2 As 0.405 0.742 0.663
As3 As 0.706 0.206 0.500
# ΔE_f = 0.1518 eV per atom
# space group = Imm2 (44)

---

No. 11
# CdFe (PBE, optimized geometry)
data_CdFe
_chemical_formula_sum 'Cd2 Fe2'
_space_group_name_H-M_alt 'P 1'
_space_group_IT_number 1
_space_group_name_Hall 'P 1'
_cell_length_a 5.347
_cell_length_b 5.347
_cell_length_c 4.708
_cell_angle_alpha 114.63
_cell_angle_beta 114.63
_cell_angle_gamma 32.58
loop_
_atom_site_label
_atom_site_type_symbol
_atom_site_fract_x
_atom_site_fract_y
_atom_site_fract_z
Cd1 Cd 0.110 0.110 0.358
Cd2 Cd 0.890 0.890 0.642
Fe1 Fe 0.347 0.347 0.099
Fe2 Fe 0.653 0.653 0.901
# ΔE_f = 0.2807 eV per atom
# space group = C2/m (12)

---

No. 12
# Li2CaRh (PBE, optimized geometry)
data_Li2CaRh
_chemical_formula_sum 'Li2 Ca1 Rh1'
_space_group_name_H-M_alt 'P 1'
_space_group_IT_number 1
_space_group_name_Hall 'P 1'
_cell_length_a 4.368
_cell_length_b 4.368
_cell_length_c 5.367
_cell_angle_alpha 114.14
_cell_angle_beta 114.14
_cell_angle_gamma 60.02
loop_
_atom_site_label
_atom_site_type_symbol
_atom_site_fract_x
_atom_site_fract_y
_atom_site_fract_z
Li1 Li 0.000 0.000 0.000
Li2 Li 0.716 0.716 0.148
Ca1 Ca 0.202 0.202 0.605
Rh1 Rh 0.414 0.414 0.240
# ΔE_f = -0.1341 eV per atom
# space group = Cm (8)

---

No. 13
# PuCuAs (PBE, optimized geometry)
data_PuCuAs
_chemical_formula_sum 'Pu2 Cu2 As2'
_space_group_name_H-M_alt 'P 1'
_space_group_IT_number 1
_space_group_name_Hall 'P 1'
_cell_length_a 3.696
_cell_length_b 3.696
_cell_length_c 8.596
_cell_angle_alpha 90.00
_cell_angle_beta 90.00
_cell_angle_gamma 90.30
loop_
_atom_site_label
_atom_site_type_symbol
_atom_site_fract_x
_atom_site_fract_y
_atom_site_fract_z
Pu1 Pu 0.000 0.000 0.173
Pu2 Pu 0.000 0.000 0.827
Cu1 Cu 0.500 0.500 0.360
Cu2 Cu 0.500 0.500 0.640
As1 As 0.000 0.000 0.500
As2 As 0.500 0.500 0.000
# ΔE_f = -0.2764 eV per atom
# space group = Cmmm (65)

---

No. 14
# Pm4NdTm (PBE, optimized geometry)
data_Pm4NdTm
_chemical_formula_sum 'Pm4 Nd1 Tm1'
_space_group_name_H-M_alt 'P 1'
_space_group_IT_number 1
_space_group_name_Hall 'P 1'
_cell_length_a 6.336
_cell_length_b 6.336
_cell_length_c 6.047
_cell_angle_alpha 90.32
_cell_angle_beta 90.32
_cell_angle_gamma 56.77
loop_
_atom_site_label
_atom_site_type_symbol
_atom_site_fract_x
_atom_site_fract_y
_atom_site_fract_z
Pm1 Pm 0.164 0.164 0.021
Pm2 Pm 0.335 0.335 0.518
Pm3 Pm 0.665 0.665 0.482
Pm4 Pm 0.836 0.836 0.979
Nd1 Nd 0.500 0.500 0.000
Tm1 Tm 0.000 0.000 0.500
# ΔE_f = 0.1114 eV per atom
# space group = C2/m (12)

---

No. 15
# Ho3Ni8Sn (PBE, optimized geometry)
data_Ho3Ni8Sn
_chemical_formula_sum 'Ho3 Ni8 Sn1'
_space_group_name_H-M_alt 'P 1'
_space_group_IT_number 1
_space_group_name_Hall 'P 1'
_cell_length_a 8.699
_cell_length_b 8.699
_cell_length_c 8.699
_cell_angle_alpha 33.56
_cell_angle_beta 33.56
_cell_angle_gamma 33.56
loop_
_atom_site_label
_atom_site_type_symbol
_atom_site_fract_x
_atom_site_fract_y
_atom_site_fract_z
Ho1 Ho 0.000 0.000 0.000
Ho2 Ho 0.127 0.127 0.127
Ho3 Ho 0.620 0.620 0.620
Ni1 Ni 0.061 0.061 0.563
Ni2 Ni 0.061 0.562 0.562
Ni3 Ni 0.061 0.563 0.061
Ni4 Ni 0.312 0.312 0.312
Ni5 Ni 0.562 0.061 0.562
Ni6 Ni 0.562 0.562 0.061
Ni7 Ni 0.563 0.061 0.061
Ni8 Ni 0.812 0.812 0.812
Sn1 Sn 0.495 0.495 0.495
# ΔE_f = -0.4351 eV per atom
# space group = R3m (160)

---

No. 16
# CsMg2OsRh (PBE, optimized geometry)
data_CsMg2OsRh
_chemical_formula_sum 'Cs1 Mg2 Os1 Rh1'
_space_group_name_H-M_alt 'P 1'
_space_group_IT_number 1
_space_group_name_Hall 'P 1'
_cell_length_a 5.174
_cell_length_b 5.174
_cell_length_c 4.829
_cell_angle_alpha 90.00
_cell_angle_beta 90.00
_cell_angle_gamma 90.00
loop_
_atom_site_label
_atom_site_type_symbol
_atom_site_fract_x
_atom_site_fract_y
_atom_site_fract_z
Cs1 Cs 0.000 0.000 0.000
Mg1 Mg 0.000 0.500 0.500
Mg2 Mg 0.500 0.000 0.500
Os1 Os 0.500 0.500 0.000
Rh1 Rh 0.500 0.500 0.500
# ΔE_f = 0.6265 eV per atom
# space group = P4/mmm (123)

---

No. 17
# LiReBr (PBE, optimized geometry)
data_LiReBr
_chemical_formula_sum 'Li1 Re1 Br1'
_space_group_name_H-M_alt 'P 1'
_space_group_IT_number 1
_space_group_name_Hall 'P 1'
_cell_length_a 4.650
_cell_length_b 4.650
_cell_length_c 4.650
_cell_angle_alpha 60.00
_cell_angle_beta 60.00
_cell_angle_gamma 60.00
loop_
_atom_site_label
_atom_site_type_symbol
_atom_site_fract_x
_atom_site_fract_y
_atom_site_fract_z
Li1 Li 0.000 0.000 0.000
Re1 Re 0.250 0.250 0.250
Br1 Br 0.750 0.750 0.750
# space group = F-43m (216)
# energy relative to the elements, uncorrected = 1.584 eV per atom